[1]
A plane-wave DFT calculation with PBE was carried out for a relaxed structure of Cu9S8.

Summary:
Space group: Fm-3m (225)
Volume: 16.572 Å³/atom
VASP energy: -0.1487 hartree per atom

Lattice parameters (Å, degrees): 7.3584 7.3584 7.3584 60.00 60.00 60.00
Last column: nearest neighbours and their distance in Å.
Fractional coordinates of all 17 atoms:
S 0.7422 0.2578 0.2578  5 Cu 2.32-2.52
S 0.2578 0.7422 0.7422  5 Cu 2.32-2.52
S 0.2578 0.2578 0.7422  5 Cu 2.32-2.52
S 0.7500 0.7500 0.7500  4 Cu 2.19
S 0.2500 0.2500 0.2500  4 Cu 2.19
S 0.2578 0.7422 0.2578  5 Cu 2.32-2.52
S 0.7422 0.7422 0.2578  5 Cu 2.32-2.52
S 0.7422 0.2578 0.7422  5 Cu 2.32-2.52
Cu 0.3854 0.8715 0.8715  4 S 2.19-2.32
Cu 0.8715 0.8715 0.3854  4 S 2.19-2.32
Cu 0.1285 0.6146 0.1285  4 S 2.19-2.32
Cu 0.5000 0.5000 0.5000  6 S 2.52
Cu 0.6146 0.1285 0.1285  4 S 2.19-2.32
Cu 0.1285 0.1285 0.1285  4 S 2.19-2.32
Cu 0.8715 0.3854 0.8715  4 S 2.19-2.32
Cu 0.1285 0.1285 0.6146  4 S 2.19-2.32
Cu 0.8715 0.8715 0.8715  4 S 2.19-2.32



[2]
A plane-wave DFT calculation with PBE was carried out for a relaxed structure of Cu3SbS4.

Summary:
Space group: C2 (5)
Volume: 19.934 Å³/atom
VASP energy: -0.1545 hartree per atom

Lattice parameters (Å, degrees): 6.6293 6.6293 5.4273 113.99 113.99 48.32
Last column: nearest neighbours and their distance in Å.
Fractional coordinates of all 8 atoms:
Cu 0.4998 0.5002 0.5000  4 S 2.31-2.32
Cu 0.2495 0.2505 0.7506  4 S 2.30-2.31
Cu 0.7495 0.7505 0.2494  4 S 2.30-2.31
S 0.3969 0.8684 0.3970  3 Cu 2.30-2.31, 1 Sb 2.49
S 0.1316 0.6031 0.6030  3 Cu 2.30-2.31, 1 Sb 2.49
S 0.6043 0.1313 0.1313  3 Cu 2.30-2.32, 1 Sb 2.47
S 0.8687 0.3957 0.8687  3 Cu 2.30-2.32, 1 Sb 2.47
Sb 0.9997 0.0003 0.0000  4 S 2.47-2.49



[3]
A plane-wave DFT calculation with PBE was carried out for a relaxed structure of Cu12Sb4SeS12.

Summary:
Space group: I-43m (217)
Volume: 19.396 Å³/atom
VASP energy: -0.1526 hartree per atom

Lattice parameters (Å, degrees): 9.0070 9.0070 9.0070 109.47 109.47 109.47
Last column: nearest neighbours and their distance in Å.
Fractional coordinates of all 29 atoms:
S 0.4872 0.2491 0.0000  3 Cu 2.23-2.30, 1 Sb 2.48
S 0.2381 0.7509 0.7509  3 Cu 2.23-2.30, 1 Sb 2.48
S 0.2491 0.0000 0.4872  3 Cu 2.23-2.30, 1 Sb 2.48
S 0.5128 0.7619 0.5128  3 Cu 2.23-2.30, 1 Sb 2.48
S 0.7509 0.2381 0.7509  3 Cu 2.23-2.30, 1 Sb 2.48
S 0.4872 0.0000 0.2491  3 Cu 2.23-2.30, 1 Sb 2.48
S 0.5128 0.5128 0.7619  3 Cu 2.23-2.30, 1 Sb 2.48
S 0.2491 0.4872 0.0000  3 Cu 2.23-2.30, 1 Sb 2.48
S 0.7509 0.7509 0.2381  3 Cu 2.23-2.30, 1 Sb 2.48
S 0.0000 0.4872 0.2491  3 Cu 2.23-2.30, 1 Sb 2.48
S 0.7619 0.5128 0.5128  3 Cu 2.23-2.30, 1 Sb 2.48
S 0.0000 0.2491 0.4872  3 Cu 2.23-2.30, 1 Sb 2.48
Cu 0.2500 0.7500 0.5000  4 S 2.30
Cu 0.2500 0.5000 0.7500  4 S 2.30
Cu 0.7500 0.5000 0.2500  4 S 2.30
Cu 0.7500 0.2500 0.5000  4 S 2.30
Cu 0.7644 0.7644 0.0000  2 S 2.23, 1 Se 2.45
Cu 0.0000 0.7644 0.7644  2 S 2.23, 1 Se 2.45
Cu 0.2356 0.0000 0.2356  2 S 2.23, 1 Se 2.45
Cu 0.0000 0.2356 0.2356  2 S 2.23, 1 Se 2.45
Cu 0.5000 0.7500 0.2500  4 S 2.30
Cu 0.2356 0.2356 0.0000  2 S 2.23, 1 Se 2.45
Cu 0.5000 0.2500 0.7500  4 S 2.30
Cu 0.7644 0.0000 0.7644  2 S 2.23, 1 Se 2.45
Sb 0.0000 0.0000 0.5485  3 S 2.48
Sb 0.4515 0.4515 0.4515  3 S 2.48
Sb 0.0000 0.5485 0.0000  3 S 2.48
Sb 0.5485 0.0000 0.0000  3 S 2.48
Se 0.0000 0.0000 0.0000  6 Cu 2.45



[4]
A plane-wave DFT calculation with PBE was carried out for a relaxed structure of Cu3SbSe2S2.

Summary:
Space group: C2 (5)
Distance to the lowest polymorph of the same formula: 0 meV/atom
Volume: 21.404 Å³/atom

Lattice parameters (Å, degrees): 6.7903 6.7903 5.5668 114.17 114.17 48.29
Last column: nearest neighbours and their distance in Å.
Fractional coordinates of all 8 atoms:
Sb 0.0170 0.9830 0.0000  2 S 2.51, 2 Se 2.62
Se 0.5999 0.1314 0.1303  3 Cu 2.43-2.44, 1 Sb 2.62
Se 0.8686 0.4001 0.8697  3 Cu 2.43-2.44, 1 Sb 2.62
Cu 0.4773 0.5227 0.5000  2 S 2.28, 2 Se 2.44
Cu 0.7519 0.7482 0.2744  2 S 2.28, 2 Se 2.43-2.44
Cu 0.2518 0.2481 0.7256  2 S 2.28, 2 Se 2.43-2.44
S 0.1336 0.6001 0.5993  3 Cu 2.28, 1 Sb 2.51
S 0.3999 0.8664 0.4007  3 Cu 2.28, 1 Sb 2.51



[5]
A plane-wave DFT calculation with PBE was carried out for a relaxed structure of Cu3SbSe2S2.

Summary:
Space group: Fmm2 (42)
Distance to the lowest polymorph of the same formula: 3 meV/atom
Volume: 21.448 Å³/atom

Lattice parameters (Å, degrees): 6.8041 6.7976 5.5607 65.93 65.81 48.26
Last column: nearest neighbours and their distance in Å.
Fractional coordinates of all 8 atoms:
S 0.1306 0.6009 0.8694  3 Cu 2.29, 1 Sb 2.52
S 0.6009 0.1306 0.3991  3 Cu 2.29, 1 Sb 2.52
Cu 0.7603 0.7603 0.7397  2 S 2.29, 2 Se 2.42
Cu 0.4878 0.4878 0.5122  2 S 2.29, 2 Se 2.44
Cu 0.2603 0.2603 0.2397  2 S 2.29, 2 Se 2.42
Se 0.4009 0.8649 0.1351  3 Cu 2.42-2.44, 1 Sb 2.61
Se 0.8649 0.4009 0.5991  3 Cu 2.42-2.44, 1 Sb 2.61
Sb 0.9943 0.9943 0.0057  2 S 2.52, 2 Se 2.61



[6]
A plane-wave DFT calculation with PBE was carried out for a relaxed structure of Cu12Sb4Se12S.

Summary:
Space group: I-43m (217)
Volume: 21.784 Å³/atom
VASP energy: -0.1418 hartree per atom

Lattice parameters (Å, degrees): 9.3624 9.3624 9.3624 109.47 109.47 109.47
Last column: nearest neighbours and their distance in Å.
Fractional coordinates of all 29 atoms:
Se 0.7707 0.5221 0.5221  3 Cu 2.40-2.42, 1 Sb 2.63
Se 0.0000 0.2486 0.4779  3 Cu 2.40-2.42, 1 Sb 2.63
Se 0.5221 0.5221 0.7707  3 Cu 2.40-2.42, 1 Sb 2.63
Se 0.5221 0.7707 0.5221  3 Cu 2.40-2.42, 1 Sb 2.63
Se 0.2486 0.4779 0.0000  3 Cu 2.40-2.42, 1 Sb 2.63
Se 0.2293 0.7514 0.7514  3 Cu 2.40-2.42, 1 Sb 2.63
Se 0.4779 0.2486 0.0000  3 Cu 2.40-2.42, 1 Sb 2.63
Se 0.0000 0.4779 0.2486  3 Cu 2.40-2.42, 1 Sb 2.63
Se 0.4779 0.0000 0.2486  3 Cu 2.40-2.42, 1 Sb 2.63
Se 0.7514 0.7514 0.2293  3 Cu 2.40-2.42, 1 Sb 2.63
Se 0.7514 0.2293 0.7514  3 Cu 2.40-2.42, 1 Sb 2.63
Se 0.2486 0.0000 0.4779  3 Cu 2.40-2.42, 1 Sb 2.63
Cu 0.7889 0.0000 0.7889  1 S 2.28, 2 Se 2.40
Cu 0.7500 0.2500 0.5000  4 Se 2.42
Cu 0.7500 0.5000 0.2500  4 Se 2.42
Cu 0.2111 0.2111 0.0000  1 S 2.28, 2 Se 2.40
Cu 0.5000 0.7500 0.2500  4 Se 2.42
Cu 0.7889 0.7889 0.0000  1 S 2.28, 2 Se 2.40
Cu 0.2500 0.5000 0.7500  4 Se 2.42
Cu 0.5000 0.2500 0.7500  4 Se 2.42
Cu 0.2111 0.0000 0.2111  1 S 2.28, 2 Se 2.40
Cu 0.0000 0.7889 0.7889  1 S 2.28, 2 Se 2.40
Cu 0.2500 0.7500 0.5000  4 Se 2.42
Cu 0.0000 0.2111 0.2111  1 S 2.28, 2 Se 2.40
Sb 0.4507 0.4507 0.4507  3 Se 2.63
Sb 0.0000 0.0000 0.5493  3 Se 2.63
Sb 0.5493 0.0000 0.0000  3 Se 2.63
Sb 0.0000 0.5493 0.0000  3 Se 2.63
S 0.0000 0.0000 0.0000  6 Cu 2.28



[7]
A plane-wave DFT calculation with PBE was carried out for a relaxed structure of Cu12Sb4Te12S.

Summary:
Space group: I-43m (217)
Volume: 25.679 Å³/atom
VASP energy: -0.1316 hartree per atom

Lattice parameters (Å, degrees): 9.8901 9.8901 9.8901 109.47 109.47 109.47
Last column: nearest neighbours and their distance in Å.
Fractional coordinates of all 29 atoms:
Cu 0.2500 0.7500 0.5000  4 Te 2.58
Cu 0.2009 0.0000 0.2009  1 S 2.29
Cu 0.7991 0.0000 0.7991  1 S 2.29
Cu 0.0000 0.2009 0.2009  1 S 2.29
Cu 0.2500 0.5000 0.7500  4 Te 2.58
Cu 0.0000 0.7991 0.7991  1 S 2.29
Cu 0.7991 0.7991 0.0000  1 S 2.29
Cu 0.5000 0.7500 0.2500  4 Te 2.58
Cu 0.5000 0.2500 0.7500  4 Te 2.58
Cu 0.2009 0.2009 0.0000  1 S 2.29
Cu 0.7500 0.5000 0.2500  4 Te 2.58
Cu 0.7500 0.2500 0.5000  4 Te 2.58
Te 0.5256 0.7731 0.5256  3 Cu 2.58-2.59, 1 Sb 2.84
Te 0.0000 0.4744 0.2475  3 Cu 2.58-2.59, 1 Sb 2.84
Te 0.7731 0.5256 0.5256  3 Cu 2.58-2.59, 1 Sb 2.84
Te 0.2269 0.7525 0.7525  3 Cu 2.58-2.59, 1 Sb 2.84
Te 0.2475 0.4744 0.0000  3 Cu 2.58-2.59, 1 Sb 2.84
Te 0.7525 0.2269 0.7525  3 Cu 2.58-2.59, 1 Sb 2.84
Te 0.7525 0.7525 0.2269  3 Cu 2.58-2.59, 1 Sb 2.84
Te 0.2475 0.0000 0.4744  3 Cu 2.58-2.59, 1 Sb 2.84
Te 0.5256 0.5256 0.7731  3 Cu 2.58-2.59, 1 Sb 2.84
Te 0.4744 0.0000 0.2475  3 Cu 2.58-2.59, 1 Sb 2.84
Te 0.4744 0.2475 0.0000  3 Cu 2.58-2.59, 1 Sb 2.84
Te 0.0000 0.2475 0.4744  3 Cu 2.58-2.59, 1 Sb 2.84
Sb 0.5590 0.0000 0.0000  3 Te 2.84
Sb 0.0000 0.0000 0.5590  3 Te 2.84
Sb 0.0000 0.5590 0.0000  3 Te 2.84
Sb 0.4410 0.4410 0.4410  3 Te 2.84
S 0.0000 0.0000 0.0000  6 Cu 2.29



[8]
A plane-wave DFT calculation with PBE was carried out for a relaxed structure of SrScCuSe2S.

Summary:
Space group: Cmcm (63)
Magnetization: 0.0 μB per formula unit
Volume: 21.783 Å³/atom
VASP energy: -0.1959 hartree per atom

Lattice parameters (Å, degrees): 6.9590 6.9590 9.9444 90.00 90.00 147.13
Last column: nearest neighbours and their distance in Å.
Fractional coordinates of all 12 atoms:
Se 0.1375 0.8625 0.4449  1 Cu 2.44
Se 0.8625 0.1375 0.5551  1 Cu 2.44
Se 0.1375 0.8625 0.0551  1 Cu 2.44
Se 0.8625 0.1375 0.9449  1 Cu 2.44
S 0.4315 0.5685 0.2500  2 Cu 2.34
S 0.5685 0.4315 0.7500  2 Cu 2.34
Cu 0.0262 0.9738 0.2500  2 S 2.34, 2 Se 2.44
Cu 0.9738 0.0262 0.7500  2 S 2.34, 2 Se 2.44
Sc 0.5000 0.5000 0.0000  2 S 2.65, 4 Se 2.75
Sc 0.5000 0.5000 0.5000  2 S 2.65, 4 Se 2.75
Sr 0.7599 0.2401 0.2500  2 S 3.02, 6 Se 3.21-3.33
Sr 0.2401 0.7599 0.7500  2 S 3.02, 6 Se 3.21-3.33



[9]
A plane-wave DFT calculation with PBE was carried out for a relaxed structure of ScCuSnS3.

Summary:
Space group: C2/m (12)
Magnetization: 0.0 μB per formula unit
Volume: 19.845 Å³/atom
VASP energy: -0.1960 hartree per atom

Lattice parameters (Å, degrees): 8.5673 8.5673 7.7937 102.33 102.33 25.25
Last column: nearest neighbours and their distance in Å.
Fractional coordinates of all 12 atoms:
S 0.3236 0.3236 0.6407  3 Sc 2.59-2.62, 2 Sn 2.90
S 0.6756 0.6756 0.8106  1 Cu 2.31, 2 Sc 2.57
S 0.6764 0.6764 0.3593  3 Sc 2.59-2.62, 2 Sn 2.90
S 0.3244 0.3244 0.1894  1 Cu 2.31, 2 Sc 2.57
S 0.5000 0.5000 0.0000  2 Cu 2.49
S 0.0000 0.0000 0.5000  4 Cu 2.45, 2 Sc 2.66
Sn 0.8688 0.8688 0.9291  7 S 2.84-3.16
Sn 0.1312 0.1312 0.0709  7 S 2.84-3.16
Sc 0.8369 0.8369 0.4190  6 S 2.57-2.66
Sc 0.1631 0.1631 0.5810  6 S 2.57-2.66
Cu 0.5351 0.5351 0.7052  4 S 2.31-2.49
Cu 0.4649 0.4649 0.2948  4 S 2.31-2.49